Below is an optimized crystal structure of RuBr3O, with properties calculated at the PBE-GGA level.

**Theoretical density**: 5.53 Mg/m³
**Formation energy from raw total energies**: 24.89 kcal/mol of atoms
**Crystal system**: cubic

Lattice parameters (Å, degrees): 4.7502 4.7502 4.7502 90.00 90.00 90.00
Closest atoms and distances in Å follow each position.
Space group Pm-3m (No. 221)
Unique sites:
Ru1 0.0000 0.0000 0.0000 (multiplicity 1)  12 Br 3.36
Br1 0.0000 0.5000 0.5000 (multiplicity 3)  2 O 2.38
O1 0.5000 0.5000 0.5000 (multiplicity 1)  6 Br 2.38